(1)
An optimized crystal structure of TbPrSi2, computed with GGA-PBE.

Volume (A^3/atom): 23.35
Symmetry: No. 11
ΔE to the lowest computed polymorph (meV per atom): 9

Cell lengths 5.8611, 3.9092, 8.1522 Å; angles 90.00, 90.70, 90.00 degrees
Fractional coordinates of all 8 atoms:
Tb  0.1141  0.2500  0.8215
Tb  0.8859  0.7500  0.1785
Si  0.1215  0.7500  0.5390
Si  0.6269  0.2500  0.9665
Si  0.8785  0.2500  0.4610
Si  0.3731  0.7500  0.0335
Pr  0.3853  0.2500  0.3198
Pr  0.6147  0.7500  0.6802

(2)
An optimized crystal structure of La3Cd3AgAu2, computed with GGA-PBE.

Volume (A^3/atom): 25.57
Symmetry: No. 189
E_form (eV/f.u.): -5.4

Cell lengths 8.0317, 8.0317, 4.1200 Å; angles 90.00, 90.00, 120.00 degrees
Fractional coordinates of all 9 atoms:
Ag  0.0000  0.0000  0.0000
Au  0.3333  0.6667  0.5000
Au  0.6667  0.3333  0.5000
Cd  0.7494  0.7494  0.5000
Cd  0.2506  0.0000  0.5000
Cd  0.0000  0.2506  0.5000
La  0.0000  0.5866  0.0000
La  0.5866  0.0000  0.0000
La  0.4134  0.4134  0.0000

(3)
An optimized crystal structure of GdHfSi2, computed with GGA-PBE.

Volume (A^3/atom): 19.52
Symmetry: No. 11
ΔE to the lowest computed polymorph (meV per atom): 39

Cell lengths 5.5329, 3.8053, 7.4212 Å; angles 90.00, 91.70, 90.00 degrees
Fractional coordinates of all 8 atoms:
Hf  0.8849  0.7500  0.6746
Hf  0.1151  0.2500  0.3254
Si  0.3559  0.7500  0.5325
Si  0.8701  0.2500  0.9536
Si  0.6441  0.2500  0.4675
Si  0.1299  0.7500  0.0464
Gd  0.3752  0.2500  0.8190
Gd  0.6248  0.7500  0.1810

(4)
An optimized crystal structure of LaYSi4Ni2, computed with GGA-PBE.

Volume (A^3/atom): 17.10
Total DFT energy (no corrections) (eV/cell): -50.82
Symmetry: No. 38

Cell lengths 4.0411, 8.4813, 8.4813 Å; angles 28.07, 90.00, 90.00 degrees
Fractional coordinates of all 8 atoms:
Si  0.0000  0.9620  0.9620
Si  0.5000  0.0425  0.0425
Si  0.0000  0.2482  0.2482
Si  0.5000  0.7477  0.7477
La  0.5000  0.3946  0.3946
Y  0.0000  0.6072  0.6072
Ni  0.5000  0.1792  0.1792
Ni  0.0000  0.8187  0.8187